[1]
DFT (PBE) results for a geometry-optimized NaSnIr2 structure.

Properties
uncorrected energy: -5.19 eV/atom
space-group type: I-42d
formation energy from the elements: 2.3 eV/f.u.
mass density: 10.99 g/cm3

```
NaSnIr2
1.0
-3.833 3.833 2.706
3.833 -3.833 2.706
3.833 3.833 -2.706
Na Sn Ir
2 2 4
Direct
0.000 0.000 0.000
0.750 0.250 0.500
0.250 0.750 0.500
0.500 0.500 0.000
0.166 0.625 0.041
0.375 0.416 0.541
0.584 0.125 0.959
0.875 0.834 0.459
```

---

[2]
DFT (PBE) results for a geometry-optimized NaSn2Ir structure.

Properties
uncorrected energy: -4.78 eV/atom
space-group type: Pnma
formation energy from the elements: -0.9 eV/f.u.
mass density: 8.47 g/cm3

```
NaSn2Ir
1.0
15.939 0.000 0.000
0.000 7.648 0.000
0.000 0.000 5.826
Na Sn Ir
8 16 8
Direct
0.106 0.250 0.235
0.139 0.750 0.020
0.361 0.250 0.520
0.394 0.750 0.735
0.606 0.250 0.265
0.639 0.750 0.480
0.861 0.250 0.980
0.894 0.750 0.765
0.036 0.048 0.750
0.036 0.452 0.750
0.211 0.545 0.504
0.211 0.955 0.504
0.289 0.045 0.004
0.289 0.455 0.004
0.464 0.548 0.250
0.464 0.952 0.250
0.536 0.048 0.750
0.536 0.452 0.750
0.711 0.545 0.996
0.711 0.955 0.996
0.789 0.045 0.496
0.789 0.455 0.496
0.964 0.548 0.250
0.964 0.952 0.250
0.072 0.750 0.510
0.180 0.250 0.753
0.320 0.750 0.253
0.428 0.250 0.010
0.572 0.750 0.990
0.680 0.250 0.747
0.820 0.750 0.247
0.928 0.250 0.490
```

---

Look up the mass density of the second one. 8.47 g/cm3

---

Which formula does entry 2 have? NaSn2Ir

---

Number 2 is which compound? NaSn2Ir